Record 1
# KTbSn2Cl8 GGA-PBE optimized geometry
# Uncorrected formation energy (kJ/mol of formula units): -1841
# Size of the total moment (μB per formula unit): 0.00
# Raw total energy (eV/cell): -47.58
data_KTbSn2Cl8
_space_group_name_H-M_alt 'P 1'
_space_group_IT_number 1
_cell_length_a 6.485
_cell_length_b 6.872
_cell_length_c 8.907
_cell_angle_alpha 87.69
_cell_angle_beta 89.10
_cell_angle_gamma 88.16
loop_
_space_group_symop_operation_xyz
'x,y,z'
loop_
_atom_site_label
_atom_site_fract_x
_atom_site_fract_y
_atom_site_fract_z
K1 0.000 0.000 0.000
Tb1 0.000 0.000 0.500
Sn1 0.494 0.485 0.250
Sn2 0.506 0.515 0.750
Cl1 0.211 0.817 0.286
Cl2 0.241 0.311 0.464
Cl3 0.251 0.862 0.718
Cl4 0.283 0.359 0.033
Cl5 0.717 0.641 0.967
Cl6 0.749 0.138 0.282
Cl7 0.759 0.689 0.536
Cl8 0.789 0.183 0.714


Record 2
# Li3H3Pt GGA-PBE optimized geometry
# Size of the total moment (μB per formula unit): 0.00
# Raw total energy (eV/cell): -24.36
data_Li3H3Pt
_space_group_name_H-M_alt 'P 1'
_space_group_IT_number 1
_cell_length_a 4.879
_cell_length_b 4.879
_cell_length_c 4.879
_cell_angle_alpha 113.71
_cell_angle_beta 113.71
_cell_angle_gamma 113.71
loop_
_space_group_symop_operation_xyz
'x,y,z'
loop_
_atom_site_label
_atom_site_fract_x
_atom_site_fract_y
_atom_site_fract_z
Li1 0.195 0.195 0.610
Li2 0.195 0.610 0.195
Li3 0.610 0.195 0.195
H1 0.081 0.721 0.721
H2 0.721 0.081 0.721
H3 0.721 0.721 0.081
Pt1 0.855 0.855 0.855


Record 3
# Tl5In3Hg4 GGA-PBE optimized geometry
# Size of the total moment (μB per formula unit): 0.00
# Raw total energy (eV/cell): -21.08
# Energy of formation from the pure elements (eV/atom): 0.014
data_Tl5In3Hg4
_space_group_name_H-M_alt 'P 1'
_space_group_IT_number 1
_cell_length_a 6.408
_cell_length_b 6.457
_cell_length_c 9.038
_cell_angle_alpha 70.41
_cell_angle_beta 80.14
_cell_angle_gamma 84.76
loop_
_space_group_symop_operation_xyz
'x,y,z'
loop_
_atom_site_label
_atom_site_fract_x
_atom_site_fract_y
_atom_site_fract_z
Tl1 0.000 0.000 0.000
Tl2 0.338 0.267 0.640
Tl3 0.474 0.241 0.021
Tl4 0.526 0.759 0.979
Tl5 0.662 0.733 0.360
In1 0.000 0.500 0.000
In2 0.165 0.976 0.353
In3 0.835 0.024 0.647
Hg1 0.173 0.508 0.308
Hg2 0.308 0.747 0.684
Hg3 0.692 0.253 0.316
Hg4 0.827 0.492 0.692


Record 4
# Sr2CaPbO4 GGA-PBE optimized geometry
# Uncorrected formation energy (kJ/mol of formula units): -1799
# Size of the total moment (μB per formula unit): 0.00
# Raw total energy (eV/cell): -47.56
data_Sr2CaPbO4
_space_group_name_H-M_alt 'P 1'
_space_group_IT_number 1
_cell_length_a 6.262
_cell_length_b 3.636
_cell_length_c 6.314
_cell_angle_alpha 90.00
_cell_angle_beta 109.34
_cell_angle_gamma 90.00
loop_
_space_group_symop_operation_xyz
'x,y,z'
loop_
_atom_site_label
_atom_site_fract_x
_atom_site_fract_y
_atom_site_fract_z
Sr1 0.000 0.000 0.000
Sr2 0.000 0.500 0.500
Ca1 0.500 0.000 0.500
Pb1 0.500 0.500 0.000
O1 0.247 0.000 0.735
O2 0.255 0.500 0.263
O3 0.745 0.500 0.737
O4 0.753 0.000 0.265


Record 5
# Fe3TePd GGA-PBE optimized geometry
# Uncorrected formation energy (kJ/mol of formula units): 476
# Size of the total moment (μB per formula unit): 10.02
# Raw total energy (eV/cell): -28.79
# Energy above the most stable polymorph in this dataset (meV per atom): 0
data_Fe3TePd
_space_group_name_H-M_alt 'P 1'
_space_group_IT_number 1
_cell_length_a 4.688
_cell_length_b 4.688
_cell_length_c 4.688
_cell_angle_alpha 90.00
_cell_angle_beta 90.00
_cell_angle_gamma 90.00
loop_
_space_group_symop_operation_xyz
'x,y,z'
loop_
_atom_site_label
_atom_site_fract_x
_atom_site_fract_y
_atom_site_fract_z
Fe1 0.000 0.000 0.500
Fe2 0.000 0.500 0.000
Fe3 0.500 0.000 0.000
Te1 0.500 0.500 0.500
Pd1 0.000 0.000 0.000


Record 6
# ScSi2Os GGA-PBE optimized geometry
# Uncorrected formation energy (kJ/mol of formula units): -27
# Size of the total moment (μB per formula unit): 0.00
# Raw total energy (eV/cell): -28.69
data_ScSi2Os
_space_group_name_H-M_alt 'P 1'
_space_group_IT_number 1
_cell_length_a 2.953
_cell_length_b 2.953
_cell_length_c 8.069
_cell_angle_alpha 90.00
_cell_angle_beta 90.00
_cell_angle_gamma 115.66
loop_
_space_group_symop_operation_xyz
'x,y,z'
loop_
_atom_site_label
_atom_site_fract_x
_atom_site_fract_y
_atom_site_fract_z
Sc1 0.000 0.000 0.000
Si1 0.500 0.500 0.270
Si2 0.500 0.500 0.730
Os1 0.000 0.000 0.500


Record 7
# LiNd6Sm GGA-PBE optimized geometry
# Size of the total moment (μB per formula unit): 0.00
# Raw total energy (eV/cell): -34.68
# Energy of formation from the pure elements (eV/atom): 0.070
data_LiNd6Sm
_space_group_name_H-M_alt 'P 1'
_space_group_IT_number 1
_cell_length_a 6.294
_cell_length_b 6.294
_cell_length_c 8.040
_cell_angle_alpha 105.14
_cell_angle_beta 105.14
_cell_angle_gamma 109.42
loop_
_space_group_symop_operation_xyz
'x,y,z'
loop_
_atom_site_label
_atom_site_fract_x
_atom_site_fract_y
_atom_site_fract_z
Li1 0.000 0.000 0.000
Nd1 0.125 0.625 0.249
Nd2 0.250 0.250 0.499
Nd3 0.375 0.875 0.751
Nd4 0.625 0.125 0.249
Nd5 0.750 0.750 0.501
Nd6 0.875 0.375 0.751
Sm1 0.500 0.500 0.000


Record 8
# Tm2AgS GGA-PBE optimized geometry
# Uncorrected formation energy (kJ/mol of formula units): -399
# Size of the total moment (μB per formula unit): 0.00
# Raw total energy (eV/cell): -20.06
# Energy above the most stable polymorph in this dataset (meV per atom): 75
data_Tm2AgS
_space_group_name_H-M_alt 'P 1'
_space_group_IT_number 1
_cell_length_a 7.657
_cell_length_b 7.657
_cell_length_c 7.657
_cell_angle_alpha 28.64
_cell_angle_beta 28.64
_cell_angle_gamma 28.64
loop_
_space_group_symop_operation_xyz
'x,y,z'
loop_
_atom_site_label
_atom_site_fract_x
_atom_site_fract_y
_atom_site_fract_z
Tm1 0.242 0.242 0.242
Tm2 0.758 0.758 0.758
Ag1 0.000 0.000 0.000
S1 0.500 0.500 0.500


Record 9
# PuZnCdRu GGA-PBE optimized geometry
# Size of the total moment (μB per formula unit): 4.79
# Raw total energy (eV/cell): -25.26
# Energy of formation from the pure elements (eV/atom): 0.133
data_PuZnCdRu
_space_group_name_H-M_alt 'P 1'
_space_group_IT_number 1
_cell_length_a 4.783
_cell_length_b 4.783
_cell_length_c 4.783
_cell_angle_alpha 60.00
_cell_angle_beta 60.00
_cell_angle_gamma 60.00
loop_
_space_group_symop_operation_xyz
'x,y,z'
loop_
_atom_site_label
_atom_site_fract_x
_atom_site_fract_y
_atom_site_fract_z
Pu1 0.000 0.000 0.000
Zn1 0.750 0.750 0.750
Cd1 0.500 0.500 0.500
Ru1 0.250 0.250 0.250


Record 10
# Ba2LiIn6Pb GGA-PBE optimized geometry
# Size of the total moment (μB per formula unit): 0.00
# Raw total energy (eV/cell): -57.05
# Energy of formation from the pure elements (eV/atom): -0.263
data_Ba2LiIn6Pb
_space_group_name_H-M_alt 'P 1'
_space_group_IT_number 1
_cell_length_a 14.201
_cell_length_b 14.201
_cell_length_c 14.201
_cell_angle_alpha 29.92
_cell_angle_beta 29.92
_cell_angle_gamma 29.92
loop_
_space_group_symop_operation_xyz
'x,y,z'
loop_
_atom_site_label
_atom_site_fract_x
_atom_site_fract_y
_atom_site_fract_z
Ba1 0.105 0.105 0.105
Ba2 0.276 0.276 0.276
Ba3 0.724 0.724 0.724
Ba4 0.895 0.895 0.895
Li1 0.000 0.000 0.000
Li2 0.500 0.500 0.500
In1 0.082 0.670 0.670
In2 0.218 0.218 0.643
In3 0.218 0.643 0.218
In4 0.330 0.330 0.918
In5 0.330 0.918 0.330
In6 0.357 0.782 0.782
In7 0.643 0.218 0.218
In8 0.670 0.082 0.670
In9 0.670 0.670 0.082
In10 0.782 0.357 0.782
In11 0.782 0.782 0.357
In12 0.918 0.330 0.330
Pb1 0.425 0.425 0.425
Pb2 0.575 0.575 0.575


Record 11
# BaTl2CdCu GGA-PBE optimized geometry
# Size of the total moment (μB per formula unit): 0.00
# Raw total energy (eV/cell): -12.12
# Energy of formation from the pure elements (eV/atom): -0.091
data_BaTl2CdCu
_space_group_name_H-M_alt 'P 1'
_space_group_IT_number 1
_cell_length_a 5.345
_cell_length_b 5.345
_cell_length_c 5.222
_cell_angle_alpha 90.00
_cell_angle_beta 90.00
_cell_angle_gamma 90.00
loop_
_space_group_symop_operation_xyz
'x,y,z'
loop_
_atom_site_label
_atom_site_fract_x
_atom_site_fract_y
_atom_site_fract_z
Ba1 0.000 0.000 0.000
Tl1 0.000 0.500 0.500
Tl2 0.500 0.000 0.500
Cd1 0.500 0.500 0.000
Cu1 0.500 0.500 0.500


Record 12
# KCrTc3 GGA-PBE optimized geometry
# Size of the total moment (μB per formula unit): 2.60
# Raw total energy (eV/cell): -34.55
# Energy of formation from the pure elements (eV/atom): 1.453
# Energy above the most stable polymorph in this dataset (meV per atom): 0
data_KCrTc3
_space_group_name_H-M_alt 'P 1'
_space_group_IT_number 1
_cell_length_a 4.610
_cell_length_b 4.610
_cell_length_c 4.610
_cell_angle_alpha 90.00
_cell_angle_beta 90.00
_cell_angle_gamma 90.00
loop_
_space_group_symop_operation_xyz
'x,y,z'
loop_
_atom_site_label
_atom_site_fract_x
_atom_site_fract_y
_atom_site_fract_z
K1 0.000 0.000 0.000
Cr1 0.500 0.500 0.500
Tc1 0.000 0.500 0.500
Tc2 0.500 0.000 0.500
Tc3 0.500 0.500 0.000


Please write out number 11 again, unchanged.
# BaTl2CdCu GGA-PBE optimized geometry
# Size of the total moment (μB per formula unit): 0.00
# Raw total energy (eV/cell): -12.12
# Energy of formation from the pure elements (eV/atom): -0.091
data_BaTl2CdCu
_space_group_name_H-M_alt 'P 1'
_space_group_IT_number 1
_cell_length_a 5.345
_cell_length_b 5.345
_cell_length_c 5.222
_cell_angle_alpha 90.00
_cell_angle_beta 90.00
_cell_angle_gamma 90.00
loop_
_space_group_symop_operation_xyz
'x,y,z'
loop_
_atom_site_label
_atom_site_fract_x
_atom_site_fract_y
_atom_site_fract_z
Ba1 0.000 0.000 0.000
Tl1 0.000 0.500 0.500
Tl2 0.500 0.000 0.500
Cd1 0.500 0.500 0.000
Cu1 0.500 0.500 0.500